A relaxed structure of ZrSc2W, computed with PBE.

a = 3.0175 Å, b = 4.7210 Å, c = 5.9774 Å
α = 90.00°, β = 101.37°, γ = 90.00°
Last column: nearest neighbours and their distance in Å.
Space group Pm (No. 6)
Unique sites:
Zr (0.0000, 0.0000, 0.0000) [1 per cell]  2 W 2.80, 1 Sc 2.94, 2 Zr 3.02
Sc (0.2107, 0.0000, 0.5400) [1 per cell]  3 Zr 2.94-3.26, 4 W 3.00-3.17, 6 Sc 3.02-3.28
Sc (0.5924, 0.5000, 0.2500) [1 per cell]  2 W 2.99-3.05, 6 Sc 3.02-3.28, 4 Zr 3.15-3.17
W (0.7370, 0.5000, 0.7589) [1 per cell]  2 Zr 2.80, 4 Sc 2.99-3.05, 2 W 3.02

A relaxed structure of ZrSc2W, computed with PBE.

a = 9.9855 Å, b = 2.9342 Å, c = 5.6659 Å
α = 90.00°, β = 95.05°, γ = 90.00°
Last column: nearest neighbours and their distance in Å.
Space group Cm (No. 8)
Unique sites:
Zr (0.0000, 0.0000, 0.0000) [2 per cell]  2 Zr 2.93, 3 W 2.95-3.08, 5 Sc 2.98-3.18
Sc (0.0130, 0.5000, 0.5316) [2 per cell]  5 Sc 2.93-3.24, 3 W 3.00-3.02, 2 Zr 3.04
Sc (0.2537, 0.5000, 0.2621) [2 per cell]  5 Sc 2.93-3.24, 3 Zr 2.98-3.18, 4 W 3.18-3.20
W (0.2517, 0.0000, 0.7630) [2 per cell]  2 W 2.93, 3 Zr 2.95-3.08, 7 Sc 3.00-3.20

A relaxed structure of ZrSc2W, computed with PBE.

a = 3.4757 Å, b = 4.9042 Å, c = 9.9601 Å
α = 90.00°, β = 90.00°, γ = 90.00°
Last column: nearest neighbours and their distance in Å.
Space group Cmm2 (No. 35)
Unique sites:
Zr (0.0000, 0.0000, 0.0000) [2 per cell]  2 W 2.80, 4 Zr 3.01
Sc (0.0000, 0.0000, 0.5575) [2 per cell]  2 W 2.82, 4 Sc 3.01
Sc (0.0000, 0.5000, 0.2758) [2 per cell]  6 Sc 3.01-3.30, 2 Zr 3.25
W (0.0000, 0.5000, 0.7801) [2 per cell]  2 Zr 2.80, 2 Sc 2.82, 4 W 3.01

A relaxed structure of ZrScW2, computed with PBE.

a = 3.2770 Å, b = 4.7790 Å, c = 9.7523 Å
α = 90.00°, β = 90.00°, γ = 90.00°
Last column: nearest neighbours and their distance in Å.
Space group Cmm2 (No. 35)
Unique sites:
Zr (0.0000, 0.0000, 0.0000) [2 per cell]  2 W 2.89, 4 Zr 2.90
Sc (0.0000, 0.5000, 0.3010) [2 per cell]  2 W 2.87, 4 Sc 2.90
W (0.0000, 0.0000, 0.5422) [2 per cell]  6 W 2.65-2.90, 2 Sc 2.87
W (0.0000, 0.5000, 0.7558) [2 per cell]  6 W 2.65-2.90, 2 Zr 2.89

A relaxed structure of Zr3ScW, computed with PBE.

a = 5.1164 Å, b = 5.1164 Å, c = 5.1164 Å
α = 90.00°, β = 90.00°, γ = 90.00°
Last column: nearest neighbours and their distance in Å.
Space group Pm-3m (No. 221)
Unique sites:
Zr (0.0000, 0.0000, 0.5000) [3 per cell]  2 W 2.56
Sc (0.5000, 0.5000, 0.5000) [1 per cell]  12 Zr 3.62
W (0.0000, 0.0000, 0.0000) [1 per cell]  6 Zr 2.56

A relaxed structure of Zr2ScW2, computed with PBE.

a = 7.6994 Å, b = 7.6994 Å, c = 3.5372 Å
α = 90.00°, β = 90.00°, γ = 90.00°
Last column: nearest neighbours and their distance in Å.
Space group P4/mbm (No. 127)
Unique sites:
Zr (0.1822, 0.3178, 0.0000) [4 per cell]  6 W 2.85-2.93
Sc (0.0000, 0.0000, 0.5000) [2 per cell]  4 W 3.10, 8 Zr 3.33
W (0.1130, 0.6130, 0.5000) [4 per cell]  1 W 2.46

A relaxed structure of ZrSc2W, computed with PBE.

a = 6.8785 Å, b = 6.8785 Å, c = 6.8785 Å
α = 90.00°, β = 90.00°, γ = 90.00°
Last column: nearest neighbours and their distance in Å.
Space group Fm-3m (No. 225)
Unique sites:
Zr (0.0000, 0.0000, 0.0000) [4 per cell]  8 Sc 2.98
Sc (0.2500, 0.2500, 0.2500) [8 per cell]  4 Zr 2.98, 4 W 2.98
W (0.0000, 0.0000, 0.5000) [4 per cell]  8 Sc 2.98

A relaxed structure of ZrScW2, computed with PBE.

a = 3.3149 Å, b = 4.6641 Å, c = 4.7569 Å
α = 90.00°, β = 90.00°, γ = 90.00°
Last column: nearest neighbours and their distance in Å.
Space group Pmmm (No. 47)
Unique sites:
Zr (0.0000, 0.0000, 0.0000) [1 per cell]  4 Sc 2.86, 4 W 2.90
Sc (0.5000, 0.5000, 0.0000) [1 per cell]  4 Zr 2.86, 4 W 2.90
W (0.0000, 0.5000, 0.5000) [1 per cell]  4 W 2.86, 4 Sc 2.90
W (0.5000, 0.0000, 0.5000) [1 per cell]  4 W 2.86, 4 Zr 2.90

Number 1: ΔH_f (0 K) 0.18 eV per atom, VASP energy -8.361 eV per atom, energy above the most stable polymorph in this dataset 18.3 meV per atom. Number 2: ΔH_f (0 K) 0.25 eV per atom, VASP energy -8.293 eV per atom, energy above the most stable polymorph in this dataset 86.4 meV per atom. Number 3: ΔH_f (0 K) 0.20 eV per atom, VASP energy -8.340 eV per atom, energy above the most stable polymorph in this dataset 39.8 meV per atom. Number 4: ΔH_f (0 K) 0.17 eV per atom, VASP energy -10.025 eV per atom, energy above the most stable polymorph in this dataset 55.9 meV per atom. Number 5: ΔH_f (0 K) 0.69 eV per atom, VASP energy -8.292 eV per atom, energy above the most stable polymorph in this dataset 0.0 meV per atom. Number 6: ΔH_f (0 K) 0.30 eV per atom, VASP energy -9.565 eV per atom, energy above the most stable polymorph in this dataset 0.0 meV per atom. Number 7: ΔH_f (0 K) 0.36 eV per atom, VASP energy -8.182 eV per atom, energy above the most stable polymorph in this dataset 197.8 meV per atom. Number 8: ΔH_f (0 K) 0.27 eV per atom, VASP energy -9.927 eV per atom, energy above the most stable polymorph in this dataset 154.6 meV per atom.